P) VASP calculation (PBE) on a geometry-optimized NaPmAsO structure.

Geometry as extended XYZ:
```
8
Lattice="5.8835 0.0000 0.0000 0.0000 5.8835 0.0000 0.0000 0.0000 5.0219" Properties=species:S:1:pos:R:3 pbc="T T T"
As 0.0000 2.9418 2.5022
As 2.9418 0.0000 2.5197
Na 2.9418 0.0000 0.0084
Na 0.0000 2.9418 5.0135
O 0.0000 0.0000 0.0000
O 2.9418 2.9418 0.0000
Pm 0.0000 0.0000 2.5109
Pm 2.9418 2.9418 2.5109
```

Values from the calculation:
SG: No. 129
Theoretical density (g/cm3): 4.95
Magnetic moment (μB per formula unit): 0.84

Q) VASP calculation (PBE) on a geometry-optimized NaPmAsO structure.

Geometry as extended XYZ:
```
8
Lattice="3.6543 0.0000 0.0000 0.0000 8.4319 0.0000 0.0000 0.0000 6.1359" Properties=species:S:1:pos:R:3 pbc="T T T"
As 0.0000 2.8630 2.5300
As 0.0000 5.5688 5.5979
Na 1.8272 7.7649 0.1905
Na 1.8272 0.6670 3.2585
O 1.8272 7.0254 2.4001
O 1.8272 1.4065 5.4681
Pm 0.0000 5.8173 2.5738
Pm 0.0000 2.6146 5.6418
```

Values from the calculation:
SG: No. 26
Theoretical density (g/cm3): 4.55
Magnetic moment (μB per formula unit): 0.00

Bottom line: Q), by a margin of 398 meV per atom.

P) VASP calculation (PBE) on a geometry-optimized NaAsPtO structure.

Geometry as extended XYZ:
```
8
Lattice="3.8610 0.0000 0.0000 0.0000 5.8759 0.0000 0.0000 0.0000 6.7529" Properties=species:S:1:pos:R:3 pbc="T T T"
As 0.0000 1.9117 2.0607
As 0.0000 3.9642 5.4372
Na 1.9305 5.2125 0.6179
Na 1.9305 0.6634 3.9944
O 1.9305 4.5974 2.7719
O 1.9305 1.2785 6.1483
Pt 0.0000 4.1174 3.0176
Pt 0.0000 1.7585 6.3941
```

Values from the calculation:
SG: No. 26
Theoretical density (g/cm3): 6.70
Magnetic moment (μB per formula unit): 0.01

Q) VASP calculation (PBE) on a geometry-optimized NaAsPtO structure.

Geometry as extended XYZ:
```
8
Lattice="3.4168 0.0000 0.0000 0.0000 6.9206 0.0000 0.0000 0.0000 6.1002" Properties=species:S:1:pos:R:3 pbc="T T T"
As 0.0000 4.7452 2.2861
As 0.0000 2.1754 5.3362
Na 0.0000 0.8070 2.5831
Na 0.0000 6.1136 5.6332
O 1.7084 2.0826 2.1579
O 1.7084 4.8380 5.2080
Pt 1.7084 3.4341 0.6225
Pt 1.7084 3.4864 3.6727
```

Values from the calculation:
SG: No. 26
Theoretical density (g/cm3): 7.11
Magnetic moment (μB per formula unit): 0.00

Bottom line: Q), by a margin of 208 meV per atom.

P) VASP calculation (PBE) on a geometry-optimized NaAsPtO structure.

Geometry as extended XYZ:
```
8
Lattice="3.7001 0.0000 0.0000 0.0000 3.7001 0.0000 0.0000 0.0000 8.9283" Properties=species:S:1:pos:R:3 pbc="T T T"
As 2.7751 2.7751 2.2331
As 0.9250 0.9250 6.6951
Na 2.7751 0.9250 4.4641
Na 0.9250 2.7751 4.4641
O 2.7751 0.9250 0.0000
O 0.9250 2.7751 0.0000
Pt 0.9250 0.9250 1.2862
Pt 2.7751 2.7751 7.6421
```

Values from the calculation:
SG: No. 129
Theoretical density (g/cm3): 8.40
Magnetic moment (μB per formula unit): 0.00

Q) VASP calculation (PBE) on a geometry-optimized NaAsPtO structure.

Geometry as extended XYZ:
```
8
Lattice="4.0710 0.0000 0.0000 0.0000 4.0710 0.0000 0.0000 0.0000 6.7314" Properties=species:S:1:pos:R:3 pbc="T T T"
As 0.0000 2.0355 1.6838
As 2.0355 0.0000 5.0476
Na 2.0355 0.0000 1.0184
Na 0.0000 2.0355 5.7130
O 0.0000 0.0000 0.0000
O 2.0355 2.0355 0.0000
Pt 0.0000 0.0000 3.3657
Pt 2.0355 2.0355 3.3657
```

Values from the calculation:
SG: No. 129
Theoretical density (g/cm3): 9.20
Magnetic moment (μB per formula unit): 0.00

Bottom line: Q), by a margin of 660 meV per atom.

P) VASP calculation (PBE) on a geometry-optimized NaTbAsO structure.

Geometry as extended XYZ:
```
8
Lattice="-3.6162 -1.4794 4.1948 3.4164 -4.3858 1.3984 2.4630 2.9245 3.1547" Properties=species:S:1:pos:R:3 pbc="T T T"
As 1.0729 -2.9470 5.7611
As 1.1903 0.0063 2.9868
Na -0.0415 -1.4562 1.4092
Na 2.3047 -1.4845 7.3387
O -1.8580 -2.2060 3.4957
O 1.6582 -3.6592 2.0975
Tb -0.6265 -0.7438 5.0731
Tb 2.8898 -2.1970 3.6748
```

Values from the calculation:
SG: No. 129
Theoretical density (g/cm3): 5.56
Magnetic moment (μB per formula unit): 0.84

Q) VASP calculation (PBE) on a geometry-optimized NaTbAsO structure.

Geometry as extended XYZ:
```
8
Lattice="-1.1576 -2.6224 2.6525 3.1778 -2.1475 -0.7363 5.1979 5.1636 7.3734" Properties=species:S:1:pos:R:3 pbc="T T T"
As 3.0229 -2.0796 3.5759
As 4.1953 2.4734 5.7137
Na 2.5252 0.0782 5.4920
Na 4.6929 0.3156 3.7976
O -0.0737 -2.5037 1.8053
O 2.0940 -2.2662 0.1109
Tb 1.0637 -0.6375 1.2715
Tb 6.1545 1.0312 8.0181
```

Values from the calculation:
SG: No. 129
Theoretical density (g/cm3): 5.72
Magnetic moment (μB per formula unit): 0.00

R) VASP calculation (PBE) on a geometry-optimized NaTbAsO structure.

Geometry as extended XYZ:
```
8
Lattice="3.6189 0.0000 0.0000 0.0000 8.1285 0.0000 0.0000 0.0000 6.5695" Properties=species:S:1:pos:R:3 pbc="T T T"
As 0.0000 6.9895 2.6115
As 0.0000 1.1390 5.8963
Na 0.0000 1.7225 2.9695
Na 0.0000 6.4061 6.2543
O 1.8094 3.2027 2.3956
O 1.8094 4.9258 5.6804
Tb 1.8094 3.1362 0.2615
Tb 1.8094 4.9923 3.5463
```

Values from the calculation:
SG: No. 26
Theoretical density (g/cm3): 4.69
Magnetic moment (μB per formula unit): 0.01

Bottom line: Q), by a margin of 276 meV per atom.

P) VASP calculation (PBE) on a geometry-optimized NaTcAsO structure.

Geometry as extended XYZ:
```
8
Lattice="3.7424 0.0000 0.0000 0.0000 3.7424 0.0000 0.0000 0.0000 9.4425" Properties=species:S:1:pos:R:3 pbc="T T T"
As 2.8068 2.8068 2.9764
As 0.9356 0.9356 6.4661
Na 0.9356 0.9356 1.2241
Na 2.8068 2.8068 8.2184
O 2.8068 0.9356 0.0000
O 0.9356 2.8068 0.0000
Tc 2.8068 0.9356 4.7212
Tc 0.9356 2.8068 4.7212
```

Values from the calculation:
SG: No. 129
Theoretical density (g/cm3): 5.32
Magnetic moment (μB per formula unit): 0.07

Q) VASP calculation (PBE) on a geometry-optimized NaTcAsO structure.

Geometry as extended XYZ:
```
8
Lattice="-0.6541 -3.1160 0.4372 4.5336 -0.1668 5.5939 -4.3899 1.4268 3.6004" Properties=species:S:1:pos:R:3 pbc="T T T"
As 1.5416 0.4140 5.2568
As -2.4694 1.1942 4.8163
Na -1.1969 0.5346 2.0195
Na 0.1312 1.1184 8.1667
O -0.5708 -1.0679 3.3464
O -1.0831 -0.4164 7.2229
Tc 1.3733 -1.4763 3.3444
Tc -0.6895 -0.7678 5.3077
```

Values from the calculation:
SG: No. 26
Theoretical density (g/cm3): 5.19
Magnetic moment (μB per formula unit): 0.13

Bottom line: Q), by a margin of 598 meV per atom.

P) VASP calculation (PBE) on a geometry-optimized NaTmAsO structure.

Geometry as extended XYZ:
```
8
Lattice="3.4477 0.0000 0.0000 0.0000 8.2693 0.0000 0.0000 0.0000 5.9677" Properties=species:S:1:pos:R:3 pbc="T T T"
As 0.0000 2.7553 2.4016
As 0.0000 5.5140 5.3855
Na 1.7239 7.7311 0.2731
Na 1.7239 0.5382 3.2569
O 1.7239 6.7656 2.3359
O 1.7239 1.5036 5.3198
Tm 0.0000 5.6141 2.4729
Tm 0.0000 2.6552 5.4568
```

Values from the calculation:
SG: No. 26
Theoretical density (g/cm3): 5.52
Magnetic moment (μB per formula unit): 0.00

Q) VASP calculation (PBE) on a geometry-optimized NaTmAsO structure.

Geometry as extended XYZ:
```
8
Lattice="-3.3454 0.5517 -1.3335 -1.9522 -7.6673 1.7253 -1.9676 1.7771 5.6714" Properties=species:S:1:pos:R:3 pbc="T T T"
As -1.5538 -2.1555 3.0063
As -3.0164 -3.1472 6.2651
Na -2.3290 -4.7743 3.8675
Na -2.4175 -0.3692 5.9120
O -4.1401 -6.0559 2.9036
O -3.5320 1.0850 4.3325
Tm -3.4264 -6.3722 0.9823
Tm -2.9542 0.2348 2.5313
```

Values from the calculation:
SG: No. 26
Theoretical density (g/cm3): 5.09
Magnetic moment (μB per formula unit): 0.01

Bottom line: P), by a margin of 160 meV per atom.